[1]
This record from Alexandria describes a geometry-optimized Nd3Lu structure. The functional is PBE.

The structure in POSCAR format:
```
Nd3Lu
1.0
-0.393 0.962 -5.016
-4.397 -2.623 -0.159
-2.598 4.294 1.027
Nd Lu
3 1
direct
0.500 0.500 0.000
0.000 0.500 0.500
0.500 0.000 0.500
0.000 0.000 0.000
```

Output
- Energy relative to the elements: 14 meV/atom
- Magnetic moment: 0.000 μB/f.u.
- Offset from the most stable computed form: 0.000 eV/atom



[2]
This record from Alexandria describes a geometry-optimized Pm2PdPt9 structure. The functional is PBE.

The structure in POSCAR format:
```
Pm2PdPt9
1.0
-2.597 -2.912 -3.750
0.222 -5.405 0.139
-7.986 -2.937 3.907
Pm Pt Pd
2 9 1
direct
0.866 0.866 0.401
0.134 0.134 0.599
0.920 0.414 0.253
0.414 0.920 0.253
0.414 0.414 0.253
0.080 0.586 0.747
0.586 0.080 0.747
0.332 0.332 0.003
0.500 0.500 0.500
0.586 0.586 0.747
0.668 0.668 0.997
0.000 0.000 0.000
```

Output
- Energy relative to the elements: -562 meV/atom
- Magnetic moment: 0.000 μB/f.u.



[3]
This record from Alexandria describes a geometry-optimized Sn3As structure. The functional is PBE.

The structure in POSCAR format:
```
Sn3As
1.0
-1.091 1.710 -3.727
0.715 -3.718 -1.916
-5.511 -0.577 3.764
Sn As
3 1
direct
0.240 0.240 0.479
0.760 0.760 0.521
0.500 0.500 0.000
0.000 0.000 0.000
```

Output
- Energy relative to the elements: 42 meV/atom
- Magnetic moment: 0.000 μB/f.u.
- Offset from the most stable computed form: 0.016 eV/atom



[4]
This record from Alexandria describes a geometry-optimized CaTbSe2F structure. The functional is PBE.

The structure in POSCAR format:
```
CaTbSe2F
1.0
4.023 0.000 0.000
0.000 4.023 0.000
0.000 0.000 14.438
Se F Tb Ca
4 2 2 2
direct
0.500 0.000 0.910
0.000 0.500 0.689
0.000 0.500 0.090
0.500 0.000 0.311
0.000 0.000 0.500
0.500 0.500 0.500
0.500 0.000 0.129
0.000 0.500 0.871
0.000 0.500 0.410
0.500 0.000 0.590
```

Output
- Formation energy without anion corrections: -1179 kJ/mol of formula units
- Magnetic moment: 0.000 μB/f.u.



[5]
This record from Alexandria describes a geometry-optimized Sr4Hg2S structure. The functional is PBE.

The structure in POSCAR format:
```
Sr4Hg2S
1.0
-4.227 -3.637 -1.170
3.126 -4.296 2.060
-2.634 5.251 7.066
Sr S Hg
4 1 2
direct
0.000 0.500 0.000
0.186 0.186 0.371
0.814 0.814 0.629
0.500 0.000 0.000
0.000 0.000 0.000
0.618 0.618 0.235
0.382 0.382 0.765
```

Output
- Formation energy without anion corrections: -502 kJ/mol of formula units
- Magnetic moment: 1.616 μB/f.u.



[6]
This record from Alexandria describes a geometry-optimized Ce12Ge5C2 structure. The functional is PBE.

The structure in POSCAR format:
```
Ce12Ge5C2
1.0
6.903 0.000 0.000
-3.451 8.636 0.352
0.000 -2.637 8.468
Ce Ge C
12 5 2
direct
0.638 0.693 0.925
0.944 0.307 0.075
0.636 0.688 0.420
0.501 0.002 0.204
0.001 0.002 0.180
0.052 0.688 0.420
0.056 0.693 0.925
0.999 0.998 0.820
0.362 0.307 0.075
0.948 0.312 0.580
0.364 0.312 0.580
0.499 0.998 0.796
0.000 0.000 0.500
0.681 0.362 0.839
0.683 0.366 0.343
0.317 0.634 0.657
0.319 0.638 0.161
0.269 0.000 0.000
0.731 0.000 0.000
```

Output
- Energy relative to the elements: -317 meV/atom
- Magnetic moment: 7.025 μB/f.u.



[7]
This record from Alexandria describes a geometry-optimized SrLi4Ag8 structure. The functional is PBE.

The structure in POSCAR format:
```
SrLi4Ag8
1.0
-1.700 4.879 1.012
-4.572 0.076 5.651
4.372 3.386 4.719
Ag Li Sr
8 4 1
direct
0.500 0.777 0.223
0.000 0.353 0.647
0.277 0.223 0.223
0.000 0.647 0.353
0.353 0.647 0.647
0.647 0.353 0.353
0.500 0.223 0.777
0.723 0.777 0.777
0.500 0.500 0.000
0.000 0.500 0.000
0.000 0.000 0.500
0.500 0.000 0.500
0.000 0.000 0.000
```

Output
- Energy relative to the elements: -170 meV/atom
- Magnetic moment: 0.000 μB/f.u.



[8]
This record from Alexandria describes a geometry-optimized PmDy3S4 structure. The functional is PBE.

The structure in POSCAR format:
```
PmDy3S4
1.0
3.900 0.000 0.000
0.000 6.483 -2.194
0.000 -0.038 6.844
Pm Dy S
1 3 4
direct
0.500 0.000 0.000
0.000 0.500 0.000
0.500 0.500 0.500
0.000 0.000 0.500
0.000 0.742 0.742
0.500 0.254 0.746
0.000 0.258 0.258
0.500 0.746 0.254
```

Output
- Formation energy without anion corrections: -1543 kJ/mol of formula units
- Magnetic moment: 0.000 μB/f.u.
- Offset from the most stable computed form: 0.000 eV/atom



[9]
This record from Alexandria describes a geometry-optimized ZnSnSb2 structure. The functional is PBE.

The structure in POSCAR format:
```
ZnSnSb2
1.0
-3.538 0.189 -1.099
1.005 -1.042 -3.415
-0.948 -6.985 1.852
Sb Zn Sn
2 1 1
direct
0.000 0.000 0.785
0.000 0.000 0.215
0.500 0.500 0.000
0.500 0.500 0.500
```

Output
- Formation energy without anion corrections: 70 kJ/mol of formula units
- Magnetic moment: 0.000 μB/f.u.
- Offset from the most stable computed form: 0.244 eV/atom



[10]
This record from Alexandria describes a geometry-optimized PaZn2In structure. The functional is PBE.

The structure in POSCAR format:
```
PaZn2In
1.0
3.412 0.000 0.000
0.000 3.412 0.000
0.000 0.000 7.185
Pa Zn In
1 2 1
direct
0.500 0.500 0.500
0.000 0.000 0.767
0.000 0.000 0.233
0.500 0.500 0.000
```

Output
- Energy relative to the elements: 70 meV/atom
- Magnetic moment: 0.758 μB/f.u.
- Offset from the most stable computed form: 0.099 eV/atom



[11]
This record from Alexandria describes a geometry-optimized La2Nd2Ho structure. The functional is PBE.

The structure in POSCAR format:
```
La2Nd2Ho
1.0
0.568 3.553 -0.834
-0.501 -1.603 -7.169
-13.660 -1.643 -8.125
Nd La Ho
4 4 2
direct
0.901 0.557 0.802
0.301 0.057 0.603
0.699 0.560 0.398
0.099 0.061 0.198
0.300 0.557 0.601
0.501 0.054 0.001
0.699 0.062 0.399
0.499 0.565 0.999
0.900 0.059 0.799
0.100 0.560 0.200
```

Output
- Energy relative to the elements: 23 meV/atom
- Magnetic moment: 0.000 μB/f.u.
- Offset from the most stable computed form: 0.000 eV/atom



[12]
This record from Alexandria describes a geometry-optimized BaMn2Zn structure. The functional is PBE.

The structure in POSCAR format:
```
BaMn2Zn
1.0
4.388 0.000 0.000
0.000 3.308 -0.010
0.000 1.483 6.625
Ba Mn Zn
1 2 1
direct
0.500 0.750 0.750
0.000 0.057 0.090
0.000 0.443 0.410
0.500 0.250 0.250
```

Output
- Energy relative to the elements: 552 meV/atom
- Magnetic moment: 7.618 μB/f.u.



[13]
This record from Alexandria describes a geometry-optimized Au6Cl7 structure. The functional is PBE.

The structure in POSCAR format:
```
Au6Cl7
1.0
-2.463 -7.226 3.548
0.130 -7.815 -3.126
4.600 -6.638 2.373
Au Cl
6 7
direct
0.060 0.060 0.060
0.337 0.337 0.337
0.818 0.818 0.818
0.940 0.940 0.940
0.182 0.182 0.182
0.663 0.663 0.663
0.064 0.580 0.580
0.420 0.936 0.420
0.580 0.064 0.580
0.936 0.420 0.420
0.500 0.500 0.500
0.580 0.580 0.064
0.420 0.420 0.936
```

Output
- Formation energy without anion corrections: 524 kJ/mol of formula units
- Magnetic moment: 0.550 μB/f.u.



[14]
This record from Alexandria describes a geometry-optimized CrFe2Au structure. The functional is PBE.

The structure in POSCAR format:
```
CrFe2Au
1.0
-0.430 2.393 0.976
-1.611 -1.579 1.333
5.810 -1.226 5.567
Fe Cr Au
2 1 1
direct
0.500 0.500 0.227
0.000 0.000 0.999
0.500 0.500 0.775
0.000 0.000 0.499
```

Output
- Energy relative to the elements: 273 meV/atom
- Magnetic moment: 4.463 μB/f.u.



[15]
This record from Alexandria describes a geometry-optimized TlP2Se structure. The functional is PBE.

The structure in POSCAR format:
```
TlP2Se
1.0
-2.560 -4.851 -0.647
2.598 -0.728 -4.819
5.264 -6.000 0.579
P Se Tl
4 2 2
direct
0.875 0.833 0.750
0.583 0.125 0.250
0.375 0.417 0.750
0.167 0.625 0.250
0.500 0.500 0.000
0.250 0.750 0.500
0.750 0.250 0.500
0.000 0.000 0.000
```

Output
- Formation energy without anion corrections: 179 kJ/mol of formula units
- Magnetic moment: 0.000 μB/f.u.
- Offset from the most stable computed form: 0.397 eV/atom



[16]
This record from Alexandria describes a geometry-optimized KHI2O structure. The functional is PBE.

The structure in POSCAR format:
```
KHI2O
1.0
-0.836 0.224 -6.827
-5.761 -3.718 0.584
-2.872 4.528 0.500
I O H K
2 1 1 1
direct
0.000 0.500 0.000
0.500 0.000 0.000
0.000 0.000 0.500
0.500 0.500 0.500
0.000 0.000 0.000
```

Output
- Magnetic moment: 4.014 μB/f.u.
- Offset from the most stable computed form: 0.402 eV/atom



[17]
This record from Alexandria describes a geometry-optimized USi2O2 structure. The functional is PBE.

The structure in POSCAR format:
```
USi2O2
1.0
7.971 -4.503 -5.652
7.351 -2.838 7.325
-10.533 -2.183 -0.223
Si O U
8 8 4
direct
0.708 0.363 0.655
0.042 0.887 0.845
0.946 0.292 0.655
0.708 0.054 0.345
0.804 0.958 0.845
0.637 0.292 0.345
0.113 0.958 0.155
0.042 0.196 0.155
0.989 0.673 0.683
0.694 0.011 0.683
0.989 0.306 0.317
0.761 0.944 0.183
0.327 0.011 0.317
0.761 0.577 0.817
0.056 0.239 0.817
0.423 0.239 0.183
0.375 0.125 0.250
0.875 0.625 0.750
0.875 0.125 0.750
0.875 0.125 0.250
```

Output
- Formation energy without anion corrections: -549 kJ/mol of formula units
- Magnetic moment: 2.003 μB/f.u.



[18]
This record from Alexandria describes a geometry-optimized Ti2Pb2O structure. The functional is PBE.

The structure in POSCAR format:
```
Ti2Pb2O
1.0
-1.167 0.068 -3.312
1.859 -2.893 -0.714
-6.286 -6.226 0.226
Ti O Pb
2 1 2
direct
0.750 0.250 0.500
0.250 0.750 0.500
0.000 0.000 0.000
0.414 0.414 0.172
0.586 0.586 0.828
```

Output
- Formation energy without anion corrections: 166 kJ/mol of formula units
- Magnetic moment: 0.000 μB/f.u.
- Offset from the most stable computed form: 0.143 eV/atom



[19]
This record from Alexandria describes a geometry-optimized CaGdNiPt structure. The functional is PBE.

The structure in POSCAR format:
```
CaGdNiPt
1.0
4.897 0.000 0.000
2.448 4.241 0.000
2.448 1.414 3.998
Ni Ca Gd Pt
1 1 1 1
direct
0.250 0.250 0.250
0.500 0.500 0.500
0.000 0.000 0.000
0.750 0.750 0.750
```

Output
- Energy relative to the elements: -620 meV/atom
- Magnetic moment: 7.156 μB/f.u.



[20]
This record from Alexandria describes a geometry-optimized In12Ag5Sn3 structure. The functional is PBE.

The structure in POSCAR format:
```
In12Ag5Sn3
1.0
-13.989 -2.794 3.274
8.216 -1.493 12.020
1.188 13.685 -5.053
In Sn Ag
48 12 20
direct
0.128 0.722 0.552
0.076 0.170 0.448
0.594 0.722 0.670
0.372 0.424 0.094
0.330 0.778 0.406
0.722 0.594 0.170
0.424 0.372 0.594
0.906 0.076 0.628
0.576 0.628 0.406
0.830 0.906 0.278
0.594 0.872 0.424
0.924 0.830 0.552
0.778 0.448 0.372
0.278 0.406 0.830
0.448 0.778 0.872
0.924 0.094 0.872
0.094 0.924 0.372
0.628 0.052 0.222
0.872 0.278 0.448
0.330 0.552 0.424
0.576 0.948 0.670
0.830 0.924 0.052
0.222 0.670 0.094
0.628 0.576 0.906
0.222 0.552 0.628
0.948 0.576 0.170
0.670 0.448 0.576
0.424 0.052 0.330
0.406 0.128 0.576
0.406 0.278 0.330
0.170 0.094 0.722
0.552 0.330 0.924
0.552 0.222 0.128
0.670 0.222 0.594
0.948 0.372 0.278
0.094 0.170 0.222
0.448 0.670 0.076
0.170 0.076 0.948
0.372 0.948 0.778
0.778 0.330 0.906
0.872 0.594 0.924
0.052 0.628 0.722
0.278 0.872 0.948
0.128 0.406 0.076
0.906 0.830 0.778
0.052 0.424 0.830
0.076 0.906 0.128
0.722 0.128 0.052
0.625 0.250 0.375
0.750 0.875 0.625
0.125 0.250 0.875
0.250 0.125 0.375
0.375 0.625 0.250
0.375 0.750 0.625
0.125 0.875 0.750
0.875 0.125 0.250
0.875 0.750 0.125
0.750 0.375 0.125
0.625 0.375 0.750
0.250 0.625 0.875
0.625 0.750 0.875
0.500 0.000 0.000
0.500 0.500 0.500
0.250 0.375 0.625
0.250 0.875 0.125
0.750 0.625 0.375
0.375 0.125 0.750
0.625 0.875 0.250
0.125 0.750 0.375
0.875 0.250 0.625
0.000 0.500 0.500
0.500 0.000 0.500
0.000 0.500 0.000
0.750 0.125 0.875
0.000 0.000 0.500
0.375 0.250 0.125
0.500 0.500 0.000
0.875 0.625 0.750
0.000 0.000 0.000
0.125 0.375 0.250
```

Output
- Energy relative to the elements: 170 meV/atom
- Magnetic moment: 0.000 μB/f.u.



[21]
This record from Alexandria describes a geometry-optimized CdTe2SI structure. The functional is PBE.

The structure in POSCAR format:
```
CdTe2SI
1.0
5.350 0.000 0.000
0.000 5.350 0.000
0.000 0.000 5.512
Te I S Cd
2 1 1 1
direct
0.000 0.500 0.000
0.500 0.000 0.000
0.000 0.000 0.500
0.000 0.000 0.000
0.500 0.500 0.500
```

Output
- Formation energy without anion corrections: 187 kJ/mol of formula units
- Magnetic moment: 0.000 μB/f.u.
- Offset from the most stable computed form: 0.000 eV/atom